## BaSr2MgNi (PBE)

Data for a relaxed structure of BaSr2MgNi.

Results
Space-group type: No. 123
ΔH_f (0 K), eV/atom: 0.04
E, eV/cell: -12.47
Relative energy among the computed polymorphs, meV/atom: 4.6

abc: 5.830 5.830 6.002
angles: 90.00 90.00 90.00
Atoms (fractional coordinates):
Ba  0.000  0.000  0.000
Sr  0.000  0.500  0.500
Sr  0.500  0.000  0.500
Mg  0.500  0.500  0.000
Ni  0.000  0.000  0.500



## CoRe2Ni (PBE)

Data for a relaxed structure of CoRe2Ni.

Results
Space-group type: No. 12
ΔH_f (0 K), eV/atom: 0.13
E, eV/cell: -37.26
Relative energy among the computed polymorphs, meV/atom: 178.4

abc: 4.546 4.546 4.604
angles: 99.78 99.78 34.16
Atoms (fractional coordinates):
Co  0.000  0.000  0.000
Re  0.252  0.252  0.753
Re  0.748  0.748  0.247
Ni  0.500  0.500  0.500



## BaLi6Pd2 (PBE)

Data for a relaxed structure of BaLi6Pd2.

Results
Space-group type: No. 123
ΔH_f (0 K), eV/atom: -0.24
E, eV/cell: -25.95

abc: 4.493 4.493 9.197
angles: 90.00 90.00 90.00
Atoms (fractional coordinates):
Ba  0.000  0.000  0.000
Li  0.000  0.000  0.500
Li  0.000  0.500  0.296
Li  0.000  0.500  0.704
Li  0.500  0.000  0.296
Li  0.500  0.000  0.704
Li  0.500  0.500  0.500
Pd  0.500  0.500  0.148
Pd  0.500  0.500  0.852